Density functional theory data (GGA-PBE) for a relaxed structure of NaCr2Tc.

Properties
The calculation puts the energy relative to the elements at 1.4212 eV per atom. The magnetic moment is 0.000 μB/atom. The polymorph energy (0 for the lowest one) is 585.5 meV/atom. The value obtained for the total energy is -6.312 eV per atom. The crystal system is tetragonal.

Cell lengths 3.7811, 3.7811, 9.2754 Å; angles 78.24, 78.24, 90.00 degrees
Positions (direct):
1 Cr 0.7045 0.1250 0.2500
2 Cr 0.0455 0.6250 0.2500
3 Cr 0.3750 0.2955 0.7500
4 Cr 0.8750 0.9545 0.7500
5 Tc 0.0000 0.0000 0.0000
6 Tc 0.7500 0.2500 0.5000
7 Na 0.5000 0.5000 0.0000
8 Na 0.2500 0.7500 0.5000

Density functional theory data (GGA-PBE) for a relaxed structure of NaCrTc.

Properties
The calculation puts the energy relative to the elements at 0.5993 eV per atom. The magnetic moment is 0.000 μB/atom. The polymorph energy (0 for the lowest one) is 207.1 meV/atom. The value obtained for the total energy is -6.503 eV per atom. The crystal system is monoclinic.

Cell lengths 4.4723, 14.7890, 2.9860 Å; angles 90.00, 90.08, 90.00 degrees
Positions (direct):
1 Na 0.2500 0.8294 0.2459
2 Na 0.7500 0.8294 0.7541
3 Na 0.2500 0.3294 0.7459
4 Na 0.7500 0.3294 0.2541
5 Cr 0.2478 0.1439 0.2047
6 Cr 0.7522 0.1439 0.7953
7 Cr 0.2478 0.6439 0.7047
8 Cr 0.7522 0.6439 0.2953
9 Tc 0.7495 0.0170 0.2384
10 Tc 0.2505 0.0170 0.7616
11 Tc 0.7495 0.5170 0.7384
12 Tc 0.2505 0.5170 0.2616

Density functional theory data (GGA-PBE) for a relaxed structure of NaCrTc.

Properties
The calculation puts the energy relative to the elements at 0.4684 eV per atom. The magnetic moment is 0.000 μB/atom. The polymorph energy (0 for the lowest one) is 76.2 meV/atom. The value obtained for the total energy is -6.634 eV per atom. The crystal system is monoclinic.

Cell lengths 2.9310, 4.0850, 20.6298 Å; angles 90.00, 93.29, 90.00 degrees
Positions (direct):
1 Na 0.2107 0.0000 0.1777
2 Na 0.7893 0.0000 0.8223
3 Na 0.2107 0.5000 0.6777
4 Na 0.7893 0.5000 0.3223
5 Cr 0.2871 0.0000 0.9540
6 Cr 0.7129 0.0000 0.0460
7 Cr 0.2871 0.5000 0.4540
8 Cr 0.7129 0.5000 0.5460
9 Tc 0.2731 0.0000 0.5528
10 Tc 0.7269 0.0000 0.4472
11 Tc 0.2731 0.5000 0.0528
12 Tc 0.7269 0.5000 0.9472

Density functional theory data (GGA-PBE) for a relaxed structure of NaCrTc.

Properties
The calculation puts the energy relative to the elements at 0.4872 eV per atom. The magnetic moment is 0.046 μB/atom. The polymorph energy (0 for the lowest one) is 94.9 meV/atom. The value obtained for the total energy is -6.616 eV per atom. The crystal system is monoclinic.

Cell lengths 2.8457, 3.9359, 10.6185 Å; angles 90.00, 90.26, 90.00 degrees
Last column: magnetic moment on the atom in μB.
Positions (direct):
1 Na 0.9183 0.5000 0.6008  0.00
2 Na 0.4178 0.0000 0.3263  0.00
3 Cr 0.4218 0.0000 0.0432  1.59
4 Cr 0.9185 0.5000 0.1086  -1.41
5 Tc 0.4230 0.0000 0.8123  -0.14
6 Tc 0.9202 0.5000 0.8971  0.21